First-principles (PBE) data for Ti4CrGa after structural relaxation, as listed in the Alexandria database.

Values from the calculation:
Fermi-level density of states   6.814 states/eV/cell
SG   P-1
Total magnetic moment   0.0 μB per formula unit
Raw total energy   -7.153 eV per atom
Formation enthalpy at 0 K   21.1 kJ per mole of atoms
Mass density   4.80 g/cm3

Lattice parameters (Å, degrees): 4.340 4.085 6.167 82.15 89.90 90.02
Atoms (fractional coordinates):
1 Ti 0.001 0.463 0.267
2 Ti 0.502 0.050 0.716
3 Ti 0.501 0.945 0.280
4 Ti 0.002 0.531 0.729
5 Cr 0.001 0.997 0.498
6 Ga 0.501 0.498 0.998